No. 1
UNbAs2Ru5 | GGA-PBE | relaxed

ΔH_f (0 K) ... -0.2984 eV per atom
Total magnetization ... 0.1460 μB per atom

a = 4.0811 Å, b = 4.0811 Å, c = 8.7942 Å
α = 90.00°, β = 90.00°, γ = 90.00°
Last column: nearest neighbours and their distance in Å.
Positions (direct):
U 0.0000 0.0000 0.0000  8 As 3.14, 8 Ru 3.24
Nb 0.0000 0.0000 0.5000  12 Ru 2.77-2.89
As 0.5000 0.5000 0.1411  4 Ru 2.41, 1 As 2.48
As 0.5000 0.5000 0.8589  4 Ru 2.41, 1 As 2.48
Ru 0.0000 0.5000 0.2864  2 As 2.41
Ru 0.5000 0.0000 0.2864  2 As 2.41
Ru 0.0000 0.5000 0.7136  2 As 2.41
Ru 0.5000 0.0000 0.7136  2 As 2.41
Ru 0.5000 0.5000 0.5000  8 Ru 2.77, 4 Nb 2.89

No. 2
Rb2RhAu | GGA-PBE | relaxed

ΔH_f (0 K) ... 0.6585 eV per atom
Total magnetization ... 0.4543 μB per atom
Distance to the lowest polymorph of the same formula ... 0 meV per atom

a = 5.8026 Å, b = 5.8026 Å, c = 5.8026 Å
α = 60.00°, β = 60.00°, γ = 60.00°
Last column: nearest neighbours and their distance in Å.
Positions (direct):
Rh 0.0000 0.0000 0.0000  8 Rb 3.55
Au 0.5000 0.5000 0.5000  8 Rb 3.55
Rb 0.2500 0.2500 0.2500  4 Au 3.55, 4 Rh 3.55
Rb 0.7500 0.7500 0.7500  4 Rh 3.55, 4 Au 3.55

No. 3
Zn2IrCl | GGA-PBE | relaxed

Uncorrected formation energy ... 32.5 kJ per mole of atoms
Total magnetization ... 0.0000 μB per atom
Distance to the lowest polymorph of the same formula ... 602 meV per atom

a = 4.9242 Å, b = 4.9242 Å, c = 4.6480 Å
α = 72.66°, β = 72.66°, γ = 36.42°
Last column: nearest neighbours and their distance in Å.
Positions (direct):
Cl 0.7500 0.7500 0.7500  4 Ir 2.79, 6 Zn 2.84-2.92, 2 Cl 3.08
Ir 0.2500 0.2500 0.2500  6 Zn 2.64-2.93, 4 Cl 2.79
Zn 0.9886 0.9886 0.0318  2 Zn 2.61, 2 Ir 2.64, 2 Cl 2.84
Zn 0.5114 0.5114 0.4682  2 Zn 2.61, 2 Ir 2.64, 2 Cl 2.84

No. 4
SmHo2TmTh | GGA-PBE | relaxed

ΔH_f (0 K) ... 0.3372 eV per atom
Total magnetization ... 0.0001 μB per atom

a = 5.5985 Å, b = 8.6425 Å, c = 7.0566 Å
α = 90.12°, β = 90.00°, γ = 90.00°
Last column: nearest neighbours and their distance in Å.
Positions (direct):
Sm 0.0000 0.0000 0.0000  4 Th 3.31, 2 Sm 3.53
Sm 0.0000 0.0000 0.5000  4 Th 3.31, 2 Sm 3.53
Ho 0.5004 0.6783 0.9991  1 Ho 3.08, 2 Th 3.29
Ho 0.5004 0.3217 0.5009  1 Ho 3.08, 2 Th 3.29
Ho 0.4996 0.6783 0.4991  1 Ho 3.08, 2 Th 3.29
Ho 0.4996 0.3217 0.0009  1 Ho 3.08, 2 Th 3.29
Tm 0.9999 0.5000 0.7500  2 Tm 3.53, 8 Ho 3.64-3.66
Tm 0.0001 0.5000 0.2500  2 Tm 3.53, 8 Ho 3.64-3.66
Th 0.5000 0.0000 0.2500  4 Ho 3.29, 4 Sm 3.31, 2 Th 3.53
Th 0.5000 0.0000 0.7500  4 Ho 3.29, 4 Sm 3.31, 2 Th 3.53

No. 5
BaBeGa | GGA-PBE | relaxed

ΔH_f (0 K) ... -0.0339 eV per atom
Total magnetization ... 0.0000 μB per atom
Distance to the lowest polymorph of the same formula ... 131 meV per atom

a = 4.0372 Å, b = 4.4095 Å, c = 10.7852 Å
α = 82.33°, β = 89.92°, γ = 63.01°
Last column: nearest neighbours and their distance in Å.
Positions (direct):
Be 0.6181 0.1862 0.0324  2 Ga 2.29-2.34, 2 Be 2.38
Be 0.0965 0.2303 0.9141  2 Ga 2.29-2.34, 2 Be 2.38
Ba 0.0373 0.3338 0.2714  3 Ga 3.25-3.37, 2 Be 3.37-3.41
Ba 0.4203 0.5739 0.6770  3 Ga 3.26-3.38, 2 Be 3.36-3.39
Ga 0.3241 0.7606 0.0679  2 Be 2.29-2.34
Ga 0.7889 0.8330 0.8815  2 Be 2.29-2.34

No. 6
MnV4Cr3 | GGA-PBE | relaxed

ΔH_f (0 K) ... -0.1424 eV per atom
Total magnetization ... 0.0000 μB per atom

a = 2.9011 Å, b = 2.9011 Å, c = 11.6336 Å
α = 90.00°, β = 90.00°, γ = 90.00°
Last column: nearest neighbours and their distance in Å.
Positions (direct):
Cr 0.5000 0.5000 0.2487  8 V 2.52
Cr 0.5000 0.5000 0.5000  8 V 2.52
Cr 0.5000 0.5000 0.7513  8 V 2.52
Mn 0.5000 0.5000 0.0000  8 V 2.50
V 0.0000 0.0000 0.8768  4 Mn 2.50, 4 Cr 2.52
V 0.0000 0.0000 0.1232  4 Mn 2.50, 4 Cr 2.52
V 0.0000 0.0000 0.3738  8 Cr 2.52
V 0.0000 0.0000 0.6262  8 Cr 2.52